(1)
Entry from Alexandria via LeMat-Bulk: crystalline Nd2ErPb at its relaxed geometry (PBE-GGA).

Geometry as CIF:
```
data_Nd2ErPb
_cell_length_a 4.911
_cell_length_b 4.911
_cell_length_c 5.007
_cell_angle_alpha 90.00
_cell_angle_beta 90.00
_cell_angle_gamma 90.00
_space_group_name_H-M_alt 'P 4/m m m'
_space_group_IT_number 123
_space_group_name_Hall '-P 4 2'
loop_
_atom_site_label
_atom_site_type_symbol
_atom_site_fract_x
_atom_site_fract_y
_atom_site_fract_z
Nd1 Nd 0.000 0.500 0.000
Er1 Er 0.000 0.000 0.500
Pb1 Pb 0.500 0.500 0.500
```

Values from the calculation:
DFT formation energy = -0.31 eV per atom
polymorph energy (0 for the lowest one) = 0.0 meV per atom

(2)
Entry from Alexandria via LeMat-Bulk: crystalline Nd2ErPb at its relaxed geometry (PBE-GGA).

Geometry as CIF:
```
data_Nd2ErPb
_cell_length_a 3.471
_cell_length_b 27.158
_cell_length_c 5.744
_cell_angle_alpha 90.00
_cell_angle_beta 90.00
_cell_angle_gamma 90.00
_space_group_name_H-M_alt 'C m c m'
_space_group_IT_number 63
_space_group_name_Hall '-C 2c 2'
loop_
_atom_site_label
_atom_site_type_symbol
_atom_site_fract_x
_atom_site_fract_y
_atom_site_fract_z
Nd1 Nd 0.000 0.093 0.250
Nd2 Nd 0.000 0.184 0.750
Er1 Er 0.000 0.029 0.750
Pb1 Pb 0.000 0.303 0.750
```

Values from the calculation:
DFT formation energy = 0.04 eV per atom
polymorph energy (0 for the lowest one) = 343.4 meV per atom

(3)
Entry from Alexandria via LeMat-Bulk: crystalline Nd2Er3Pb at its relaxed geometry (PBE-GGA).

Geometry as CIF:
```
data_Nd2Er3Pb
_cell_length_a 4.887
_cell_length_b 15.302
_cell_length_c 4.944
_cell_angle_alpha 90.00
_cell_angle_beta 90.00
_cell_angle_gamma 90.00
_space_group_name_H-M_alt 'C m m m'
_space_group_IT_number 65
_space_group_name_Hall '-C 2 2'
loop_
_atom_site_label
_atom_site_type_symbol
_atom_site_fract_x
_atom_site_fract_y
_atom_site_fract_z
Nd1 Nd 0.000 0.161 0.000
Er1 Er 0.000 0.000 0.500
Er2 Er 0.000 0.333 0.500
Pb1 Pb 0.000 0.500 0.000
```

Values from the calculation:
DFT formation energy = -0.16 eV per atom

(4)
Entry from Alexandria via LeMat-Bulk: crystalline Nd2ErPb3 at its relaxed geometry (PBE-GGA).

Geometry as CIF:
```
data_Nd2ErPb3
_cell_length_a 8.656
_cell_length_b 15.996
_cell_length_c 6.284
_cell_angle_alpha 90.00
_cell_angle_beta 121.33
_cell_angle_gamma 90.00
_space_group_name_H-M_alt 'C 1 2/c 1'
_space_group_IT_number 15
_space_group_name_Hall '-C 2yc'
loop_
_atom_site_label
_atom_site_type_symbol
_atom_site_fract_x
_atom_site_fract_y
_atom_site_fract_z
Nd1 Nd 0.000 0.080 0.250
Nd2 Nd 0.000 0.243 0.750
Er1 Er 0.000 0.412 0.250
Pb1 Pb 0.231 0.420 0.982
Pb2 Pb 0.250 0.250 0.500
```

Values from the calculation:
DFT formation energy = -0.46 eV per atom
polymorph energy (0 for the lowest one) = 20.1 meV per atom

(5)
Entry from Alexandria via LeMat-Bulk: crystalline NdEr2Pb at its relaxed geometry (PBE-GGA).

Geometry as CIF:
```
data_NdEr2Pb
_cell_length_a 4.903
_cell_length_b 4.903
_cell_length_c 4.851
_cell_angle_alpha 90.00
_cell_angle_beta 90.00
_cell_angle_gamma 90.00
_space_group_name_H-M_alt 'P 4/m m m'
_space_group_IT_number 123
_space_group_name_Hall '-P 4 2'
loop_
_atom_site_label
_atom_site_type_symbol
_atom_site_fract_x
_atom_site_fract_y
_atom_site_fract_z
Nd1 Nd 0.000 0.000 0.000
Er1 Er 0.000 0.500 0.500
Pb1 Pb 0.500 0.500 0.000
```

Values from the calculation:
DFT formation energy = -0.28 eV per atom
polymorph energy (0 for the lowest one) = 32.6 meV per atom

(6)
Entry from Alexandria via LeMat-Bulk: crystalline Nd3Er2Pb4 at its relaxed geometry (PBE-GGA).

Geometry as CIF:
```
data_Nd3Er2Pb4
_cell_length_a 16.477
_cell_length_b 5.122
_cell_length_c 6.928
_cell_angle_alpha 90.00
_cell_angle_beta 105.40
_cell_angle_gamma 90.00
_space_group_name_H-M_alt 'C 1 2/m 1'
_space_group_IT_number 12
_space_group_name_Hall '-C 2y'
loop_
_atom_site_label
_atom_site_type_symbol
_atom_site_fract_x
_atom_site_fract_y
_atom_site_fract_z
Nd1 Nd 0.000 0.000 0.000
Nd2 Nd 0.119 0.000 0.581
Er1 Er 0.167 0.500 0.074
Pb1 Pb 0.007 0.500 0.284
Pb2 Pb 0.242 0.000 0.278
```

Values from the calculation:
DFT formation energy = -0.46 eV per atom
polymorph energy (0 for the lowest one) = 0.0 meV per atom